VASP calculation (GGA-PBE) on a relaxed structure of BiRu3Au.

* VASP energy: -5.152 eV per atom
* space group: Pm-3m (221)
* calculated formation energy: 1.845 eV/atom
* size of the total moment: 6.076 μB/cell

Structure (POSCAR):
```
BiRu3Au
1.0
4.917 0.000 0.000
0.000 4.917 0.000
0.000 0.000 4.917
Bi Ru Au
1 3 1
Cartesian
0.000 0.000 0.000 Bi
0.000 2.458 2.458 Ru
2.458 0.000 2.458 Ru
2.458 2.458 0.000 Ru
2.458 2.458 2.458 Au
```